Computed, not measured: a relaxed La2NiIO crystal at the PBE+U level of DFT.

Summary:
Total magnetization (μB/f.u.): 1.1
DFT total energy (eV/atom): -4.639

a b c (Å): 4.7988 5.9207 4.7988
angles (deg): 90.00 90.00 90.00
Last column: nearest neighbours and their distance in Å.
Element x y z (fractional)
O1 0.0000 0.0000 0.0000  4 La 2.40
I1 0.0000 0.5000 0.0000  2 O 2.96
Ni1 0.5000 0.5000 0.5000  4 I 3.39
La1 0.0000 0.0000 0.5000  2 O 2.40
La2 0.5000 0.0000 0.0000  2 O 2.40